Entry 1:
{"formula": "Rb3HfGa", "functional": "PBE-GGA", "state": "relaxed", "n_ef_per_ev_fu": 15.07, "relative_energy_mev_per_atom": 0, "sg": "No. 221", "formation_energy_ev_per_atom": 1.225, "lattice_angstrom": [[-1.497, -3.007, 5.823], [4.688, -4.666, -1.204], [4.580, 3.793, 3.136]], "species": ["Hf", "Ga", "Rb", "Rb", "Rb"], "frac_coords": [[0.500, 0.500, 0.500], [0.000, 0.000, 0.000], [0.000, 0.500, 0.000], [0.000, 0.000, 0.500], [0.500, 0.000, 0.000]]}

=====

Entry 2:
{"formula": "RbLiHg2Sb", "functional": "PBE-GGA", "state": "relaxed", "n_ef_per_ev_fu": 1.90, "formation_energy_uncorrected_kj_per_mol_atoms": -17.1, "sg": "No. 123", "lattice_angstrom": [[5.895, 0.000, 0.000], [0.000, 5.895, 0.000], [0.000, 0.000, 5.275]], "species": ["Sb", "Hg", "Hg", "Rb", "Li"], "frac_coords": [[0.000, 0.000, 0.000], [0.000, 0.500, 0.000], [0.500, 0.000, 0.000], [0.500, 0.500, 0.500], [0.000, 0.000, 0.500]]}

=====

Entry 3:
{"formula": "Ca4YAg5", "functional": "PBE-GGA", "state": "relaxed", "n_ef_per_ev_fu": 7.38, "sg": "No. 123", "formation_energy_ev_per_atom": -0.317, "lattice_angstrom": [[-1.287, -1.788, 2.991], [3.072, -2.086, 0.075], [8.129, 12.357, 10.882]], "species": ["Ca", "Ca", "Ca", "Ca", "Y", "Ag", "Ag", "Ag", "Ag", "Ag"], "frac_coords": [[0.000, 0.000, 0.198], [0.000, 0.000, 0.400], [0.000, 0.000, 0.600], [0.000, 0.000, 0.802], [0.000, 0.000, 0.000], [0.500, 0.500, 0.092], [0.500, 0.500, 0.300], [0.500, 0.500, 0.500], [0.500, 0.500, 0.700], [0.500, 0.500, 0.908]]}

=====

| no. | uncorrected energy (eV per atom) |
| --- | --- |
| 1 | -1.952 |
| 2 | -1.699 |
| 3 | -3.189 |